# 1
## MnHgH (PBE)

Data for MnHgH after structural relaxation.

Cell and atoms, written as CIF:
```
data_MnHgH
_cell_length_a 3.0556
_cell_length_b 3.0556
_cell_length_c 4.7311
_cell_angle_alpha 90.00
_cell_angle_beta 90.00
_cell_angle_gamma 120.00
_space_group_name_H-M_alt 'P -6 m 2'
_space_group_IT_number 187
_space_group_name_Hall 'P -6 2'
loop_
_atom_site_label
_atom_site_type_symbol
_atom_site_fract_x
_atom_site_fract_y
_atom_site_fract_z
_atom_site_occupancy
Mn1 Mn 0.0000 0.0000 0.0000 1
Hg1 Hg 0.3333 0.6667 0.5000 1
H1 H 0.6667 0.3333 0.0000 1
```

## Properties
E_tot: -4.102 eV per atom
mass density: 11.135 g cm⁻³


# 2
## Dy3Cu2Ag3 (PBE)

Data for Dy3Cu2Ag3 after structural relaxation.

Cell and atoms, written as CIF:
```
data_Dy3Cu2Ag3
_cell_length_a 7.2945
_cell_length_b 7.2945
_cell_length_c 3.7148
_cell_angle_alpha 90.00
_cell_angle_beta 90.00
_cell_angle_gamma 120.00
_space_group_name_H-M_alt 'P -6 2 m'
_space_group_IT_number 189
_space_group_name_Hall 'P -6 -2'
loop_
_atom_site_label
_atom_site_type_symbol
_atom_site_fract_x
_atom_site_fract_y
_atom_site_fract_z
_atom_site_occupancy
Dy1 Dy 0.0000 0.5998 0.0000 1
Cu1 Cu 0.3333 0.6667 0.5000 1
Ag1 Ag 0.0000 0.2389 0.5000 1
```

## Properties
energy of formation from the pure elements: -0.271 eV/atom
mass density: 9.101 g cm⁻³


# 3
## CdBCl (PBE)

Data for CdBCl after structural relaxation.

Cell and atoms, written as CIF:
```
data_CdBCl
_cell_length_a 4.4817
_cell_length_b 4.4827
_cell_length_c 8.0449
_cell_angle_alpha 90.06
_cell_angle_beta 91.45
_cell_angle_gamma 90.00
_space_group_name_H-M_alt 'P 1'
_space_group_IT_number 1
loop_
_space_group_symop_operation_xyz
'x,y,z'
loop_
_atom_site_label
_atom_site_type_symbol
_atom_site_fract_x
_atom_site_fract_y
_atom_site_fract_z
_atom_site_occupancy
Cd1 Cd 0.0000 0.0000 0.0000 1
Cd2 Cd 0.4991 0.5002 0.9996 1
B1 B 0.0032 0.5002 0.0719 1
B2 B 0.9961 0.4987 0.2623 1
Cl1 Cl 0.4888 0.9997 0.7688 1
Cl2 Cl 0.9834 0.4964 0.4711 1
```

## Properties
raw formation energy: -3.0 kcal/mol of atoms
mass density: 3.262 g cm⁻³


# 4
## CaLaAu3 (PBE)

Data for CaLaAu3 after structural relaxation.

Cell and atoms, written as CIF:
```
data_CaLaAu3
_cell_length_a 5.2520
_cell_length_b 5.2520
_cell_length_c 5.2520
_cell_angle_alpha 90.00
_cell_angle_beta 90.00
_cell_angle_gamma 90.00
_space_group_name_H-M_alt 'P m -3 m'
_space_group_IT_number 221
_space_group_name_Hall '-P 4 2 3'
loop_
_atom_site_label
_atom_site_type_symbol
_atom_site_fract_x
_atom_site_fract_y
_atom_site_fract_z
_atom_site_occupancy
Ca1 Ca 0.0000 0.0000 0.0000 1
La1 La 0.5000 0.5000 0.5000 1
Au1 Au 0.0000 0.0000 0.5000 1
```

## Properties
energy of formation from the pure elements: -0.169 eV/atom
mass density: 8.825 g cm⁻³


# 5
## TaGe3N (PBE)

Data for TaGe3N after structural relaxation.

Cell and atoms, written as CIF:
```
data_TaGe3N
_cell_length_a 5.0315
_cell_length_b 5.0315
_cell_length_c 5.0315
_cell_angle_alpha 90.00
_cell_angle_beta 90.00
_cell_angle_gamma 90.00
_space_group_name_H-M_alt 'P m -3 m'
_space_group_IT_number 221
_space_group_name_Hall '-P 4 2 3'
loop_
_atom_site_label
_atom_site_type_symbol
_atom_site_fract_x
_atom_site_fract_y
_atom_site_fract_z
_atom_site_occupancy
Ta1 Ta 0.0000 0.0000 0.0000 1
Ge1 Ge 0.0000 0.0000 0.5000 1
N1 N 0.5000 0.5000 0.5000 1
```

## Properties
raw formation energy: 31.4 kcal/mol of atoms
mass density: 5.383 g cm⁻³


# 6
## AgHg2Pt (PBE)

Data for AgHg2Pt after structural relaxation.

Cell and atoms, written as CIF:
```
data_AgHg2Pt
_cell_length_a 9.2991
_cell_length_b 3.0652
_cell_length_c 5.5169
_cell_angle_alpha 90.00
_cell_angle_beta 100.26
_cell_angle_gamma 90.00
_space_group_name_H-M_alt 'C 1 2/m 1'
_space_group_IT_number 12
loop_
_space_group_symop_operation_xyz
'x,y,z'
'-x,-y,-z'
'-x,y,-z'
'x,-y,z'
'x+1/2,y+1/2,z'
'-x+1/2,-y+1/2,-z'
'-x+1/2,y+1/2,-z'
'x+1/2,-y+1/2,z'
loop_
_atom_site_label
_atom_site_type_symbol
_atom_site_fract_x
_atom_site_fract_y
_atom_site_fract_z
_atom_site_occupancy
Ag1 Ag 0.0000 0.0000 0.0000 1
Hg1 Hg 0.2468 0.0000 0.7437 1
Pt1 Pt 0.0000 0.5000 0.5000 1
```

## Properties
energy of formation from the pure elements: 0.075 eV/atom
mass density: 15.112 g cm⁻³


# 7
## CoNiCl4 (PBE)

Data for CoNiCl4 after structural relaxation.

Cell and atoms, written as CIF:
```
data_CoNiCl4
_cell_length_a 6.1351
_cell_length_b 3.4932
_cell_length_c 6.6552
_cell_angle_alpha 90.00
_cell_angle_beta 107.53
_cell_angle_gamma 90.00
_space_group_name_H-M_alt 'P 1 2/m 1'
_space_group_IT_number 10
loop_
_space_group_symop_operation_xyz
'x,y,z'
'-x,-y,-z'
'-x,y,-z'
'x,-y,z'
loop_
_atom_site_label
_atom_site_type_symbol
_atom_site_fract_x
_atom_site_fract_y
_atom_site_fract_z
_atom_site_occupancy
Co1 Co 0.0000 0.0000 0.0000 1
Ni1 Ni 0.5000 0.5000 0.0000 1
Cl1 Cl 0.2393 0.5000 0.2080 1
Cl2 Cl 0.2685 0.0000 0.7947 1
```

## Properties
raw formation energy: -12.9 kcal/mol of atoms
mass density: 3.168 g cm⁻³


# 8
## Ba2ZrP (PBE)

Data for Ba2ZrP after structural relaxation.

Cell and atoms, written as CIF:
```
data_Ba2ZrP
_cell_length_a 3.9283
_cell_length_b 5.9375
_cell_length_c 11.8561
_cell_angle_alpha 90.00
_cell_angle_beta 90.00
_cell_angle_gamma 90.00
_space_group_name_H-M_alt 'I m m 2'
_space_group_IT_number 44
loop_
_space_group_symop_operation_xyz
'x,y,z'
'-x,-y,z'
'-x,y,z'
'x,-y,z'
'x+1/2,y+1/2,z+1/2'
'-x+1/2,-y+1/2,z+1/2'
'-x+1/2,y+1/2,z+1/2'
'x+1/2,-y+1/2,z+1/2'
loop_
_atom_site_label
_atom_site_type_symbol
_atom_site_fract_x
_atom_site_fract_y
_atom_site_fract_z
_atom_site_occupancy
Ba1 Ba 0.0000 0.0000 0.0000 1
Ba2 Ba 0.0000 0.5000 0.1818 1
Zr1 Zr 0.0000 0.5000 0.8142 1
P1 P 0.0000 0.0000 0.4509 1
```

## Properties
energy of formation from the pure elements: -0.273 eV/atom
mass density: 4.766 g cm⁻³


What is the mass density in the second record? 9.101 g cm⁻³


The lowest mass density belongs to which entry? CoNiCl4